(1)
# HfZnPd | the Alexandria database | PBE | relaxed
data_HfZnPd
_chemical_formula_sum 'Hf4 Zn4 Pd4'
_cell_length_a 4.4795
_cell_length_b 5.6626
_cell_length_c 7.9142
_cell_angle_alpha 90.00
_cell_angle_beta 90.00
_cell_angle_gamma 90.00
_symmetry_space_group_name_H-M 'I m m m'
_symmetry_Int_Tables_number 71
_symmetry_space_group_name_Hall '-I 2 2'
loop_
_atom_site_label
_atom_site_type_symbol
_atom_site_fract_x
_atom_site_fract_y
_atom_site_fract_z
Hf1 Hf 0.0000 0.2474 0.0000
Zn1 Zn 0.0000 0.0000 0.3378
Pd1 Pd 0.0000 0.5000 0.3262
# **Fermi-level density of states**: 1.34 states/eV/f.u.
# **Spin magnetization**: 0.000 μB/f.u.
# **Final energy**: -5.994 eV/atom



(2)
# BeV2Mo | the Alexandria database | PBE | relaxed
data_BeV2Mo
_chemical_formula_sum 'Be1 V2 Mo1'
_cell_length_a 3.0705
_cell_length_b 3.0705
_cell_length_c 5.4798
_cell_angle_alpha 90.00
_cell_angle_beta 90.00
_cell_angle_gamma 90.00
_symmetry_space_group_name_H-M 'P 4/m m m'
_symmetry_Int_Tables_number 123
_symmetry_space_group_name_Hall '-P 4 2'
loop_
_atom_site_label
_atom_site_type_symbol
_atom_site_fract_x
_atom_site_fract_y
_atom_site_fract_z
Be1 Be 0.0000 0.0000 0.0000
V1 V 0.5000 0.5000 0.2321
Mo1 Mo 0.0000 0.0000 0.5000
# **Fermi-level density of states**: 2.71 states/eV/f.u.
# **Spin magnetization**: 0.001 μB/f.u.
# **Final energy**: -8.249 eV/atom



(3)
# YCu2As | the Alexandria database | PBE | relaxed
data_YCu2As
_chemical_formula_sum 'Y2 Cu4 As2'
_cell_length_a 4.0517
_cell_length_b 4.0517
_cell_length_c 8.7322
_cell_angle_alpha 90.00
_cell_angle_beta 90.00
_cell_angle_gamma 90.00
_symmetry_space_group_name_H-M 'I 4/m m m'
_symmetry_Int_Tables_number 139
_symmetry_space_group_name_Hall '-I 4 2'
loop_
_atom_site_label
_atom_site_type_symbol
_atom_site_fract_x
_atom_site_fract_y
_atom_site_fract_z
Y1 Y 0.0000 0.0000 0.0000
Cu1 Cu 0.0000 0.5000 0.2500
As1 As 0.0000 0.0000 0.5000
# **Fermi-level density of states**: 1.55 states/eV/f.u.
# **Spin magnetization**: 0.000 μB/f.u.
# **Final energy**: -5.150 eV/atom



(4)
# LiFe2Ru | the Alexandria database | PBE | relaxed
data_LiFe2Ru
_chemical_formula_sum 'Li3 Fe6 Ru3'
_cell_length_a 2.6060
_cell_length_b 2.6060
_cell_length_c 26.5520
_cell_angle_alpha 90.00
_cell_angle_beta 90.00
_cell_angle_gamma 120.00
_symmetry_space_group_name_H-M 'R -3 m'
_symmetry_Int_Tables_number 166
_symmetry_space_group_name_Hall '-R 3 2"'
loop_
_atom_site_label
_atom_site_type_symbol
_atom_site_fract_x
_atom_site_fract_y
_atom_site_fract_z
Li1 Li 0.0000 0.0000 0.0000
Fe1 Fe 0.0000 0.0000 0.2474
Ru1 Ru 0.0000 0.0000 0.5000
# **Fermi-level density of states**: 3.80 states/eV/f.u.
# **Spin magnetization**: 4.502 μB/f.u.
# **Final energy**: -6.791 eV/atom



(5)
# Pr3MnC3 | the Alexandria database | PBE | relaxed
data_Pr3MnC3
_chemical_formula_sum 'Pr12 Mn4 C12'
_cell_length_a 8.7568
_cell_length_b 10.7283
_cell_length_c 5.4142
_cell_angle_alpha 90.00
_cell_angle_beta 90.00
_cell_angle_gamma 90.00
_symmetry_space_group_name_H-M 'C m c m'
_symmetry_Int_Tables_number 63
_symmetry_space_group_name_Hall '-C 2c 2'
loop_
_atom_site_label
_atom_site_type_symbol
_atom_site_fract_x
_atom_site_fract_y
_atom_site_fract_z
Pr1 Pr 0.0000 0.1087 0.2500
Pr2 Pr 0.2061 0.3780 0.2500
Mn1 Mn 0.0000 0.2984 0.7500
C1 C 0.0000 0.1276 0.7500
C2 C 0.1875 0.3669 0.7500
# **Fermi-level density of states**: 3.49 states/eV/f.u.
# **Spin magnetization**: 0.001 μB/f.u.
# **Final energy**: -7.422 eV/atom



(6)
# BeTlAu | the Alexandria database | PBE | relaxed
data_BeTlAu
_chemical_formula_sum 'Be1 Tl1 Au1'
_cell_length_a 3.3976
_cell_length_b 3.3976
_cell_length_c 5.9646
_cell_angle_alpha 90.00
_cell_angle_beta 90.00
_cell_angle_gamma 120.00
_symmetry_space_group_name_H-M 'P 3 m 1'
_symmetry_Int_Tables_number 156
loop_
_symmetry_equiv_pos_as_xyz
'x,y,z'
'-y,x-y,z'
'-x+y,-x,z'
'-y,-x,z'
'-x+y,y,z'
'x,x-y,z'
loop_
_atom_site_label
_atom_site_type_symbol
_atom_site_fract_x
_atom_site_fract_y
_atom_site_fract_z
Be1 Be 0.0000 0.0000 0.0000
Tl1 Tl 0.6667 0.3333 0.3670
Au1 Au 0.3333 0.6667 0.8012
# **Energy relative to the lowest polymorph listed for this composition**: 0.245 eV per atom
# **Fermi-level density of states**: 1.51 states/eV/f.u.
# **Spin magnetization**: 0.000 μB/f.u.



(7)
# Mg9Tl2Ag | the Alexandria database | PBE | relaxed
data_Mg9Tl2Ag
_chemical_formula_sum 'Mg9 Tl2 Ag1'
_cell_length_a 4.4615
_cell_length_b 4.4615
_cell_length_c 13.3954
_cell_angle_alpha 90.00
_cell_angle_beta 90.00
_cell_angle_gamma 90.00
_symmetry_space_group_name_H-M 'P 4/m m m'
_symmetry_Int_Tables_number 123
_symmetry_space_group_name_Hall '-P 4 2'
loop_
_atom_site_label
_atom_site_type_symbol
_atom_site_fract_x
_atom_site_fract_y
_atom_site_fract_z
Mg1 Mg 0.0000 0.0000 0.0000
Mg2 Mg 0.0000 0.0000 0.3272
Mg3 Mg 0.0000 0.5000 0.1541
Mg4 Mg 0.0000 0.5000 0.5000
Tl1 Tl 0.5000 0.5000 0.3282
Ag1 Ag 0.5000 0.5000 0.0000
# **Fermi-level density of states**: 5.23 states/eV/f.u.
# **Spin magnetization**: 0.000 μB/f.u.
# **Final energy**: -1.886 eV/atom



(8)
# HfTlAu | the Alexandria database | PBE | relaxed
data_HfTlAu
_chemical_formula_sum 'Hf4 Tl4 Au4'
_cell_length_a 12.9653
_cell_length_b 3.3604
_cell_length_c 6.2002
_cell_angle_alpha 90.00
_cell_angle_beta 90.37
_cell_angle_gamma 90.00
_symmetry_space_group_name_H-M 'C 1 2/m 1'
_symmetry_Int_Tables_number 12
loop_
_symmetry_equiv_pos_as_xyz
'x,y,z'
'-x,-y,-z'
'-x,y,-z'
'x,-y,z'
'x+1/2,y+1/2,z'
'-x+1/2,-y+1/2,-z'
'-x+1/2,y+1/2,-z'
'x+1/2,-y+1/2,z'
loop_
_atom_site_label
_atom_site_type_symbol
_atom_site_fract_x
_atom_site_fract_y
_atom_site_fract_z
Hf1 Hf 0.0000 0.0000 0.0000
Hf2 Hf 0.0000 0.0000 0.5000
Tl1 Tl 0.1795 0.5000 0.2518
Au1 Au 0.1314 0.5000 0.7515
# **Fermi-level density of states**: 2.24 states/eV/f.u.
# **Spin magnetization**: 0.000 μB/f.u.
# **Final energy**: -5.303 eV/atom



(9)
# TbNdDy3Th | the Alexandria database | PBE | relaxed
data_TbNdDy3Th
_chemical_formula_sum 'Tb2 Nd2 Dy6 Th2'
_cell_length_a 7.9858
_cell_length_b 5.0653
_cell_length_c 10.1237
_cell_angle_alpha 90.00
_cell_angle_beta 108.31
_cell_angle_gamma 90.00
_symmetry_space_group_name_H-M 'P 1 21/m 1'
_symmetry_Int_Tables_number 11
loop_
_symmetry_equiv_pos_as_xyz
'x,y,z'
'-x,-y,-z'
'-x,y+1/2,-z'
'x,-y+1/2,z'
loop_
_atom_site_label
_atom_site_type_symbol
_atom_site_fract_x
_atom_site_fract_y
_atom_site_fract_z
Tb1 Tb 0.0018 0.2500 0.1281
Nd1 Nd 0.3270 0.7500 0.7070
Dy1 Dy 0.3252 0.2500 0.4562
Dy2 Dy 0.3300 0.7500 0.2080
Dy3 Dy 0.3308 0.2500 0.9571
Th1 Th 0.0004 0.2500 0.6230
# **Fermi-level density of states**: 8.51 states/eV/f.u.
# **Spin magnetization**: 0.000 μB/f.u.
# **Final energy**: -5.073 eV/atom



(10)
# Y9Tm4Cd11 | the Alexandria database | PBE | relaxed
data_Y9Tm4Cd11
_chemical_formula_sum 'Y18 Tm8 Cd22'
_cell_length_a 15.9955
_cell_length_b 22.5377
_cell_length_c 3.5351
_cell_angle_alpha 90.00
_cell_angle_beta 90.00
_cell_angle_gamma 90.00
_symmetry_space_group_name_H-M 'C m m m'
_symmetry_Int_Tables_number 65
_symmetry_space_group_name_Hall '-C 2 2'
loop_
_atom_site_label
_atom_site_type_symbol
_atom_site_fract_x
_atom_site_fract_y
_atom_site_fract_z
Y1 Y 0.0000 0.0000 0.0000
Y2 Y 0.1134 0.2350 0.0000
Y3 Y 0.1156 0.4097 0.0000
Tm1 Tm 0.1629 0.0860 0.0000
Cd1 Cd 0.0000 0.1305 0.5000
Cd2 Cd 0.0000 0.3243 0.5000
Cd3 Cd 0.0000 0.5000 0.5000
Cd4 Cd 0.2249 0.5000 0.5000
Cd5 Cd 0.2336 0.3204 0.5000
# **Fermi-level density of states**: 26.24 states/eV/f.u.
# **Spin magnetization**: 1.453 μB/f.u.
# **Final energy**: -3.838 eV/atom



(11)
# Cs3KGa | the Alexandria database | PBE | relaxed
data_Cs3KGa
_chemical_formula_sum 'Cs3 K1 Ga1'
_cell_length_a 8.0514
_cell_length_b 8.0514
_cell_length_c 8.0514
_cell_angle_alpha 90.00
_cell_angle_beta 90.00
_cell_angle_gamma 90.00
_symmetry_space_group_name_H-M 'P m -3 m'
_symmetry_Int_Tables_number 221
_symmetry_space_group_name_Hall '-P 4 2 3'
loop_
_atom_site_label
_atom_site_type_symbol
_atom_site_fract_x
_atom_site_fract_y
_atom_site_fract_z
Cs1 Cs 0.0000 0.0000 0.5000
K1 K 0.0000 0.0000 0.0000
Ga1 Ga 0.5000 0.5000 0.5000
# **Energy relative to the lowest polymorph listed for this composition**: 0.375 eV per atom
# **Fermi-level density of states**: 13.48 states/eV/f.u.
# **Spin magnetization**: 1.347 μB/f.u.



(12)
# B3PdRu | the Alexandria database | PBE | relaxed
data_B3PdRu
_chemical_formula_sum 'B3 Pd1 Ru1'
_cell_length_a 4.0189
_cell_length_b 4.0189
_cell_length_c 4.0189
_cell_angle_alpha 90.00
_cell_angle_beta 90.00
_cell_angle_gamma 90.00
_symmetry_space_group_name_H-M 'P m -3 m'
_symmetry_Int_Tables_number 221
_symmetry_space_group_name_Hall '-P 4 2 3'
loop_
_atom_site_label
_atom_site_type_symbol
_atom_site_fract_x
_atom_site_fract_y
_atom_site_fract_z
B1 B 0.0000 0.0000 0.5000
Pd1 Pd 0.5000 0.5000 0.5000
Ru1 Ru 0.0000 0.0000 0.0000
# **Energy relative to the lowest polymorph listed for this composition**: 0.000 eV per atom
# **Fermi-level density of states**: 1.62 states/eV/f.u.
# **Spin magnetization**: 0.000 μB/f.u.



(13)
# Ta2ZnHRu | the Alexandria database | PBE | relaxed
data_Ta2ZnHRu
_chemical_formula_sum 'Ta2 Zn1 H1 Ru1'
_cell_length_a 4.1060
_cell_length_b 4.1060
_cell_length_c 3.9323
_cell_angle_alpha 90.00
_cell_angle_beta 90.00
_cell_angle_gamma 90.00
_symmetry_space_group_name_H-M 'P 4/m m m'
_symmetry_Int_Tables_number 123
_symmetry_space_group_name_Hall '-P 4 2'
loop_
_atom_site_label
_atom_site_type_symbol
_atom_site_fract_x
_atom_site_fract_y
_atom_site_fract_z
Ta1 Ta 0.0000 0.5000 0.0000
Zn1 Zn 0.0000 0.0000 0.5000
H1 H 0.5000 0.5000 0.0000
Ru1 Ru 0.5000 0.5000 0.5000
# **Energy relative to the lowest polymorph listed for this composition**: 0.000 eV per atom
# **Fermi-level density of states**: 2.78 states/eV/f.u.
# **Spin magnetization**: 0.000 μB/f.u.



(14)
# NdErPa4 | the Alexandria database | PBE | relaxed
data_NdErPa4
_chemical_formula_sum 'Nd4 Er4 Pa16'
_cell_length_a 8.7210
_cell_length_b 8.7210
_cell_length_c 8.7210
_cell_angle_alpha 90.00
_cell_angle_beta 90.00
_cell_angle_gamma 90.00
_symmetry_space_group_name_H-M 'F -4 3 m'
_symmetry_Int_Tables_number 216
_symmetry_space_group_name_Hall 'F -4 2 3'
loop_
_atom_site_label
_atom_site_type_symbol
_atom_site_fract_x
_atom_site_fract_y
_atom_site_fract_z
Nd1 Nd 0.0000 0.0000 0.0000
Er1 Er 0.2500 0.2500 0.7500
Pa1 Pa 0.1248 0.1248 0.3752
# **Fermi-level density of states**: 15.98 states/eV/f.u.
# **Spin magnetization**: 0.000 μB/f.u.
# **Final energy**: -7.646 eV/atom



(15)
# Cu2MoPt | the Alexandria database | PBE | relaxed
data_Cu2MoPt
_chemical_formula_sum 'Cu4 Mo2 Pt2'
_cell_length_a 8.9731
_cell_length_b 2.6984
_cell_length_c 4.7033
_cell_angle_alpha 90.00
_cell_angle_beta 99.20
_cell_angle_gamma 90.00
_symmetry_space_group_name_H-M 'C 1 m 1'
_symmetry_Int_Tables_number 8
loop_
_symmetry_equiv_pos_as_xyz
'x,y,z'
'x,-y,z'
'x+1/2,y+1/2,z'
'x+1/2,-y+1/2,z'
loop_
_atom_site_label
_atom_site_type_symbol
_atom_site_fract_x
_atom_site_fract_y
_atom_site_fract_z
Cu1 Cu 0.0000 0.0000 0.0000
Cu2 Cu 0.2480 0.5000 0.2082
Mo1 Mo 0.0023 0.5000 0.4950
Pt1 Pt 0.2523 0.0000 0.7113
# **Energy relative to the lowest polymorph listed for this composition**: 0.073 eV per atom
# **Fermi-level density of states**: 2.75 states/eV/f.u.
# **Spin magnetization**: 0.000 μB/f.u.



(16)
# KCrNiS3 | the Alexandria database | PBE | relaxed
data_KCrNiS3
_chemical_formula_sum 'K2 Cr2 Ni2 S6'
_cell_length_a 8.1430
_cell_length_b 3.5429
_cell_length_c 9.0596
_cell_angle_alpha 90.00
_cell_angle_beta 115.03
_cell_angle_gamma 90.00
_symmetry_space_group_name_H-M 'P 1 21/m 1'
_symmetry_Int_Tables_number 11
loop_
_symmetry_equiv_pos_as_xyz
'x,y,z'
'-x,-y,-z'
'-x,y+1/2,-z'
'x,-y+1/2,z'
loop_
_atom_site_label
_atom_site_type_symbol
_atom_site_fract_x
_atom_site_fract_y
_atom_site_fract_z
K1 K 0.2379 0.2500 0.2555
Cr1 Cr 0.3105 0.7500 0.8368
Ni1 Ni 0.0878 0.2500 0.6062
S1 S 0.1241 0.2500 0.8604
S2 S 0.2244 0.7500 0.5556
S3 S 0.4758 0.7500 0.1312
# **Fermi-level density of states**: 2.93 states/eV/f.u.
# **Spin magnetization**: 1.193 μB/f.u.
# **Uncorrected formation energy**: -17.58 kcal/mol of atoms



(17)
# Zr2CdHg | the Alexandria database | PBE | relaxed
data_Zr2CdHg
_chemical_formula_sum 'Zr4 Cd2 Hg2'
_cell_length_a 6.0945
_cell_length_b 8.7201
_cell_length_c 3.2517
_cell_angle_alpha 90.00
_cell_angle_beta 90.29
_cell_angle_gamma 90.00
_symmetry_space_group_name_H-M 'C 1 2/m 1'
_symmetry_Int_Tables_number 12
loop_
_symmetry_equiv_pos_as_xyz
'x,y,z'
'-x,-y,-z'
'-x,y,-z'
'x,-y,z'
'x+1/2,y+1/2,z'
'-x+1/2,-y+1/2,-z'
'-x+1/2,y+1/2,-z'
'x+1/2,-y+1/2,z'
loop_
_atom_site_label
_atom_site_type_symbol
_atom_site_fract_x
_atom_site_fract_y
_atom_site_fract_z
Zr1 Zr 0.2500 0.2500 0.0000
Cd1 Cd 0.0000 0.0000 0.5000
Hg1 Hg 0.0000 0.5000 0.5000
# **Energy relative to the lowest polymorph listed for this composition**: 0.005 eV per atom
# **Fermi-level density of states**: 3.38 states/eV/f.u.
# **Spin magnetization**: 0.000 μB/f.u.



(18)
# Tb2Pm2SmMg | the Alexandria database | PBE | relaxed
data_Tb2Pm2SmMg
_chemical_formula_sum 'Tb8 Pm8 Sm4 Mg4'
_cell_length_a 6.7771
_cell_length_b 18.0560
_cell_length_c 6.3917
_cell_angle_alpha 90.00
_cell_angle_beta 90.00
_cell_angle_gamma 90.00
_symmetry_space_group_name_H-M 'I b a m'
_symmetry_Int_Tables_number 72
_symmetry_space_group_name_Hall '-I 2 2c'
loop_
_atom_site_label
_atom_site_type_symbol
_atom_site_fract_x
_atom_site_fract_y
_atom_site_fract_z
Tb1 Tb 0.1543 0.1539 0.0000
Pm1 Pm 0.1525 0.3457 0.0000
Sm1 Sm 0.0000 0.0000 0.2500
Mg1 Mg 0.0000 0.5000 0.2500
# **Fermi-level density of states**: 9.09 states/eV/f.u.
# **Spin magnetization**: 0.001 μB/f.u.
# **Final energy**: -3.982 eV/atom



(19)
# Mn2InSe | the Alexandria database | PBE | relaxed
data_Mn2InSe
_chemical_formula_sum 'Mn4 In2 Se2'
_cell_length_a 3.9087
_cell_length_b 3.9087
_cell_length_c 9.5142
_cell_angle_alpha 90.00
_cell_angle_beta 90.00
_cell_angle_gamma 90.00
_symmetry_space_group_name_H-M 'I -4 m 2'
_symmetry_Int_Tables_number 119
_symmetry_space_group_name_Hall 'I -4 -2'
loop_
_atom_site_label
_atom_site_type_symbol
_atom_site_fract_x
_atom_site_fract_y
_atom_site_fract_z
Mn1 Mn 0.0000 0.0000 0.0000
Mn2 Mn 0.0000 0.5000 0.2500
In1 In 0.0000 0.0000 0.5000
Se1 Se 0.0000 0.5000 0.7500
# **Energy relative to the lowest polymorph listed for this composition**: 0.190 eV per atom
# **Fermi-level density of states**: 2.67 states/eV/f.u.
# **Spin magnetization**: 7.547 μB/f.u.
# **Uncorrected formation energy**: 4.98 kcal/mol of atoms



(20)
# MnFe2Co | the Alexandria database | PBE | relaxed
data_MnFe2Co
_chemical_formula_sum 'Mn4 Fe8 Co4'
_cell_length_a 4.9125
_cell_length_b 4.9125
_cell_length_c 9.7358
_cell_angle_alpha 90.00
_cell_angle_beta 90.00
_cell_angle_gamma 90.00
_symmetry_space_group_name_H-M 'I -4 2 d'
_symmetry_Int_Tables_number 122
_symmetry_space_group_name_Hall 'I -4 2bw'
loop_
_atom_site_label
_atom_site_type_symbol
_atom_site_fract_x
_atom_site_fract_y
_atom_site_fract_z
Mn1 Mn 0.0000 0.0000 0.0000
Fe1 Fe 0.2502 0.2500 0.1250
Co1 Co 0.0000 0.0000 0.5000
# **Fermi-level density of states**: 5.87 states/eV/f.u.
# **Spin magnetization**: 0.000 μB/f.u.
# **Final energy**: -7.024 eV/atom